# Fe2PdRu, optimized geometry, DFT GGA-PBE
# **Fermi-level density of states**: 16.37 states/eV/cell
# **Formation enthalpy at 0 K**: 0.12 eV/atom
# **Energy**: -7.7241 eV per atom
data_Fe2PdRu
_chemical_formula_sum 'Fe6 Pd3 Ru3'
_cell_length_a 2.6826
_cell_length_b 2.6826
_cell_length_c 25.7725
_cell_angle_alpha 90.00
_cell_angle_beta 90.00
_cell_angle_gamma 120.00
_space_group_name_H-M_alt 'R -3 m'
_space_group_IT_number 166
_space_group_name_Hall '-R 3 2"'
loop_
_atom_site_label
_atom_site_type_symbol
_atom_site_fract_x
_atom_site_fract_y
_atom_site_fract_z
Fe1 Fe 0.0000 0.0000 0.2485
Pd1 Pd 0.0000 0.0000 0.0000
Ru1 Ru 0.0000 0.0000 0.5000